# GGA+U Na3Mn5O12, optimized geometry
data_Na3Mn5O12
_cell_length_a 12.4230
_cell_length_b 12.4230
_cell_length_c 12.4230
_cell_angle_alpha 90.00
_cell_angle_beta 90.00
_cell_angle_gamma 90.00
_space_group_name_H-M_alt 'I a -3 d'
_space_group_IT_number 230
_space_group_name_Hall '-I 4bd 2c 3'
loop_
_atom_site_label
_atom_site_type_symbol
_atom_site_fract_x
_atom_site_fract_y
_atom_site_fract_z
_atom_site_occupancy
Na1 Na 0.0000 0.2500 0.1250 1
Mn1 Mn 0.0000 0.0000 0.0000 1
Mn2 Mn 0.0000 0.2500 0.3750 1
O1 O 0.0383 0.0479 0.6508 1
# Energy relative to the lowest polymorph listed for this composition, meV per atom: 97.5